DFT (PBE-GGA) results for a relaxed structure of Cu3W.

abc: 4.545 4.545 4.767
angles: 98.00 98.00 32.89
Sites, in units of the cell vectors:
Cu (0.000, 0.000, 0.000)
Cu (0.252, 0.252, 0.755)
Cu (0.748, 0.748, 0.245)
W (0.500, 0.500, 0.500)

* SG: C2/m, No. 12
* DFT formation energy: 331 meV/atom